1.
{"formula": "DyCoSiC", "functional": "PBE", "state": "relaxed", "dos_at_fermi_per_ev_fu": 0.84, "raw_formation_energy_ev_per_fu": -2.1, "lattice_angstrom": [[-2.5238, -2.1405, 1.6338], [-0.2825, -2.0164, -3.0781], [6.1433, -5.1158, 2.7874]], "species": ["Si", "C", "C", "Co", "Si", "Dy", "Dy", "Co"], "fractional_positions": [[0.5000, 0.0000, 0.6521], [0.5000, 0.0000, 0.8659], [0.0000, 0.5000, 0.1341], [0.0000, 0.0000, 0.5000], [0.0000, 0.5000, 0.3479], [0.0000, 0.5000, 0.8522], [0.5000, 0.0000, 0.1478], [0.5000, 0.5000, 0.5000]]}



2.
{"formula": "DyCo2SiC", "functional": "PBE", "state": "relaxed", "dos_at_fermi_per_ev_fu": 2.15, "raw_formation_energy_ev_per_fu": -3.0, "lattice_angstrom": [[3.7121, 0.0000, 0.0000], [-1.8560, 5.2494, 0.0000], [0.0000, 0.0000, 6.7202]], "species": ["Co", "C", "Dy", "Co", "C", "Co", "Si", "Dy", "Co", "Si"], "fractional_positions": [[0.1637, 0.3274, 0.5565], [0.0000, 0.0000, 0.0000], [0.5512, 0.1024, 0.2500], [0.1637, 0.3274, 0.9435], [0.0000, 0.0000, 0.5000], [0.8363, 0.6726, 0.4435], [0.7279, 0.4558, 0.7500], [0.4488, 0.8976, 0.7500], [0.8363, 0.6726, 0.0565], [0.2721, 0.5442, 0.2500]]}